Mo5Se4 PBE-GGA optimized geometry; formation energy (no corrections) = -0.084 eV per atom; offset from the most stable computed form = 0 meV/atom; V = 167.2 Å³ per cell; magnetic moment = 0.0 μB/f.u.; DOS at the Fermi energy = 4.039 states/eV/f.u.; space group = I4/mmm (139); total energy = -7.6495 eV per atom
1.0
-4.620 4.620 1.959
4.620 -4.620 1.959
4.620 4.620 -1.959
Mo Se
5 4
direct
0.000 0.000 0.000 Mo
0.354 0.354 0.709 Mo
0.354 0.646 0.000 Mo
0.646 0.354 0.000 Mo
0.646 0.646 0.291 Mo
0.000 0.284 0.284 Se
0.000 0.716 0.716 Se
0.284 0.000 0.284 Se
0.716 0.000 0.716 Se

Mo5Se PBE-GGA optimized geometry; formation energy (no corrections) = 0.357 eV per atom; offset from the most stable computed form = 237 meV/atom; V = 95.4 Å³ per cell; magnetic moment = 0.0 μB/f.u.; DOS at the Fermi energy = 6.167 states/eV/f.u.; space group = P-62m (189); total energy = -9.2499 eV per atom
1.0
4.837 0.000 0.000
-2.418 4.189 0.000
0.000 0.000 4.711
Mo Se
5 1
direct
0.000 0.665 0.000 Mo
0.333 0.667 0.500 Mo
0.335 0.335 0.000 Mo
0.665 0.000 0.000 Mo
0.667 0.333 0.500 Mo
0.000 0.000 0.500 Se

Mo3Se4 PBE-GGA optimized geometry; formation energy (no corrections) = -0.249 eV per atom; offset from the most stable computed form = 278 meV/atom; V = 137.8 Å³ per cell; magnetic moment = 0.0 μB/f.u.; DOS at the Fermi energy = 4.324 states/eV/f.u.; space group = I4/mmm (139); total energy = -6.8825 eV per atom
1.0
-1.549 1.549 14.361
1.549 -1.549 14.361
1.549 1.549 -14.361
Mo Se
3 4
direct
0.000 0.000 0.000 Mo
0.284 0.284 0.000 Mo
0.716 0.716 0.000 Mo
0.168 0.168 0.000 Se
0.446 0.446 0.000 Se
0.554 0.554 0.000 Se
0.832 0.832 0.000 Se

Mo4Se5 PBE-GGA optimized geometry; formation energy (no corrections) = 0.506 eV per atom; V = 162.0 Å³ per cell; magnetic moment = 0.0 μB/f.u.; DOS at the Fermi energy = 8.466 states/eV/f.u.; space group = I4/mmm (139); total energy = -6.2438 eV per atom
1.0
-5.008 5.008 1.616
5.008 -5.008 1.616
5.008 5.008 -1.616
Mo Se
4 5
direct
0.000 0.351 0.351 Mo
0.000 0.649 0.649 Mo
0.351 0.000 0.351 Mo
0.649 0.000 0.649 Mo
0.000 0.000 0.000 Se
0.333 0.333 0.666 Se
0.333 0.667 0.000 Se
0.667 0.333 0.000 Se
0.667 0.667 0.334 Se

Q: Among the records above, which one has the highest formation energy (no corrections)?
A: Mo4Se5